! Tm2PaIn, optimized geometry, DFT PBE; values from VASP
&SYSTEM
  ibrav = 0, nat = 4, ntyp = 3
/
ATOMIC_SPECIES
Tm 168.93 Tm.upf
In 114.82 In.upf
Pa 231.04 Pa.upf
ATOMIC_POSITIONS angstrom
Tm 0.000 0.000 2.202
Tm 0.000 0.000 6.953
In 1.704 1.704 0.000
Pa 1.704 1.704 4.577
CELL_PARAMETERS angstrom
3.409 0.000 0.000
0.000 3.409 0.000
0.000 0.000 9.154
! Formation energy from the elements (meV per atom): -133
! Crystal system: tetragonal


! CdOs, optimized geometry, DFT PBE; values from VASP
&SYSTEM
  ibrav = 0, nat = 6, ntyp = 2
/
ATOMIC_SPECIES
Cd 112.41 Cd.upf
Os 190.23 Os.upf
ATOMIC_POSITIONS angstrom
Cd 1.597 1.268 9.251
Cd 2.419 -3.688 9.883
Cd 1.584 -1.040 7.484
Os 2.274 -0.014 11.833
Os 0.708 4.061 6.682
Os 0.872 0.724 5.078
CELL_PARAMETERS angstrom
-0.131 -2.131 5.231
2.588 -1.746 4.709
0.013 5.708 4.274
! Formation energy from the elements (meV per atom): 554
! Crystal system: monoclinic


! Si2NiP, optimized geometry, DFT PBE; values from VASP
&SYSTEM
  ibrav = 0, nat = 4, ntyp = 3
/
ATOMIC_SPECIES
Si 28.09 Si.upf
P 30.97 P.upf
Ni 58.69 Ni.upf
ATOMIC_POSITIONS angstrom
Si -0.448 -0.561 -1.770
Si -3.018 -1.712 -1.109
P -5.378 -1.073 -0.944
Ni -2.252 0.567 -0.492
CELL_PARAMETERS angstrom
-1.379 2.774 -0.530
-0.340 -0.633 -2.426
-5.911 -2.647 1.520
! E_form (uncorrected) (eV per formula unit): -0.23
! Crystal system: orthorhombic


! Sm2AlCd16, optimized geometry, DFT PBE; values from VASP
&SYSTEM
  ibrav = 0, nat = 19, ntyp = 3
/
ATOMIC_SPECIES
Al 26.98 Al.upf
Sm 150.36 Sm.upf
Cd 112.41 Cd.upf
ATOMIC_POSITIONS angstrom
Al 7.662 6.926 8.575
Sm 5.726 5.175 6.408
Sm 2.733 2.470 3.058
Cd 3.293 6.680 3.685
Cd 5.504 2.363 0.929
Cd 5.247 4.742 2.875
Cd 8.248 7.455 5.889
Cd 2.905 5.238 0.929
Cd 0.598 5.238 2.991
Cd 2.269 4.742 5.536
Cd 4.947 1.780 5.536
Cd 7.913 4.152 8.856
Cd 0.307 2.363 5.574
Cd 4.928 7.455 8.856
Cd 0.768 0.694 0.859
Cd 6.978 2.603 3.685
Cd 5.272 0.067 2.991
Cd 2.880 2.603 7.346
Cd 2.382 0.067 5.574
CELL_PARAMETERS angstrom
7.589 0.060 0.923
0.824 7.544 0.923
0.067 0.060 7.645
! Formation energy from the elements (meV per atom): -121
! Crystal system: trigonal


| no. | size of the total moment (μB/f.u.) | calculated total energy (eV/atom) |
| --- | --- | --- |
| 1 | 0.36 | -5.4272 |
| 2 | 0.00 | -5.5182 |
| 3 | 0.00 | -5.5671 |
| 4 | 0.00 | -1.5859 |